Computed, not measured: a relaxed TmTiAlRu crystal at the PBE level of DFT.

abc: 4.664 4.664 4.664
angles: 60.00 60.00 60.00
Sites, in units of the cell vectors:
Al (0.000, 0.000, 0.000)
Ru (0.500, 0.500, 0.500)
Tm (0.750, 0.750, 0.750)
Ti (0.250, 0.250, 0.250)

Results
The space-group type is F-43m, No. 216. As for the total energy: -6.68 eV per atom. As for the density of states at the Fermi level: 1.90 states/eV/cell. The formation energy comes out at -0.3295 eV/atom.